PBE YFeCu2, relaxed; SG = R3m (160)
1.0
4.144 -0.005 0.008
2.080 3.584 0.008
2.063 1.186 4.687
Cu Fe Y
2 1 1
Direct
0.048 0.048 0.855 Cu
0.757 0.757 0.729 Cu
0.446 0.446 0.664 Fe
0.249 0.249 0.252 Y

=====

PBE Hf6Ga2P, relaxed; SG = P2_1/c (14)
1.0
5.648 0.000 0.246
0.000 7.203 0.000
-0.379 0.000 8.863
Hf Ga P
12 4 2
Direct
0.868 0.968 0.227 Hf
0.861 0.670 0.553 Hf
0.873 0.688 0.948 Hf
0.627 0.188 0.552 Hf
0.639 0.170 0.947 Hf
0.632 0.468 0.273 Hf
0.132 0.032 0.773 Hf
0.139 0.330 0.447 Hf
0.127 0.312 0.052 Hf
0.373 0.812 0.448 Hf
0.361 0.830 0.053 Hf
0.368 0.532 0.727 Hf
0.912 0.383 0.753 Ga
0.588 0.883 0.747 Ga
0.412 0.117 0.253 Ga
0.088 0.617 0.247 Ga
0.500 0.500 0.000 P
0.000 0.000 0.500 P

=====

Per-record calculated formation energy, eV per atom: 0.030, -0.495
Per-record DOS(E_F), states/eV per atom: 0.89, 0.87